Sc2GaPt2 PBE-GGA optimized geometry; final energy = -6.2733 eV/atom; total moment = 0.001 μB per formula unit
1.0
-2.250 2.250 5.315
2.250 -2.250 5.315
2.250 2.250 -5.315
Ga Pt Sc
1 2 2
direct
0.000 0.000 0.000
0.380 0.380 0.000
0.620 0.620 0.000
0.750 0.250 0.500
0.250 0.750 0.500